Computed, not measured: an optimized crystal structure of La5PmNdCd2 at the PBE level of DFT.

Cell lengths 8.9994, 8.9994, 9.8198 Å; angles 117.27, 117.27, 90.00 degrees
Fractional positions:
La  0.9287  0.4287  0.2611
La  0.6677  0.1677  0.7389
La  0.0713  0.5713  0.7389
La  0.1677  0.0713  0.7389
La  0.5713  0.6677  0.7389
La  0.8323  0.9287  0.2611
La  0.4287  0.3323  0.2611
La  0.3323  0.8323  0.2611
La  0.5000  0.5000  0.0000
La  0.0000  0.0000  0.0000
Pm  0.2500  0.7500  0.5000
Pm  0.7500  0.2500  0.5000
Nd  0.2500  0.2500  0.5000
Nd  0.7500  0.7500  0.5000
Cd  0.1064  0.3936  0.0000
Cd  0.6064  0.1064  0.0000
Cd  0.3936  0.8936  0.0000
Cd  0.8936  0.6064  0.0000

Properties
* formation enthalpy at 0 K: 0.018 eV per atom
* V: 33.65 A^3/atom
* final energy: -3.98 eV/atom